The following is a GGA-PBE calculation of a relaxed CdAs2O crystal, from Alexandria.

Results
- SG: No. 122
- DOS(E_F): 0.1953 states/eV per atom
- Formation energy from raw total energies: -61.9 meV/atom
- Distance to the lowest polymorph of the same formula: 0.0000 eV per atom
- Spin magnetization: 0.00 μB per formula unit
- Crystal system: tetragonal

abc: 4.9710 4.9710 7.6230
angles: 70.97 70.97 90.00
Last column: nearest neighbours and their distance in Å.
Atoms (fractional coordinates):
As 0.2736 0.6250 0.2500  2 O 2.16
As 0.4764 0.1250 0.2500  2 O 2.16
As 0.3750 0.5236 0.7500  2 O 2.16
As 0.8750 0.7264 0.7500  2 O 2.16
Cd 0.0000 0.0000 0.0000  4 As 2.89
Cd 0.7500 0.2500 0.5000  4 As 2.89
O 0.2500 0.7500 0.5000  4 As 2.16
O 0.5000 0.5000 0.0000  4 As 2.16



The following is a GGA-PBE calculation of a relaxed Tb9PmPr2 crystal, from Alexandria.

Results
- SG: No. 191
- DOS(E_F): 1.4357 states/eV per atom
- Distance to the lowest polymorph of the same formula: 0.0415 eV per atom
- Spin magnetization: 0.00 μB per formula unit
- Formation energy: 60 meV/atom
- Crystal system: hexagonal

abc: 3.5208 11.3754 11.3754
angles: 120.00 90.00 90.00
Last column: nearest neighbours and their distance in Å.
Atoms (fractional coordinates):
Tb 0.5000 0.1739 0.3478  8 Tb 3.43-3.67, 2 Pr 3.60
Tb 0.0000 0.5000 0.0000  2 Pr 3.28, 10 Tb 3.52-3.67
Tb 0.5000 0.1739 0.8261  8 Tb 3.43-3.67, 2 Pr 3.60
Tb 0.5000 0.3478 0.1739  8 Tb 3.43-3.67, 2 Pr 3.60
Tb 0.0000 0.5000 0.5000  2 Pr 3.28, 10 Tb 3.52-3.67
Tb 0.0000 0.0000 0.5000  2 Pr 3.28, 10 Tb 3.52-3.67
Tb 0.5000 0.6522 0.8261  8 Tb 3.43-3.67, 2 Pr 3.60
Tb 0.5000 0.8261 0.6522  8 Tb 3.43-3.67, 2 Pr 3.60
Tb 0.5000 0.8261 0.1739  8 Tb 3.43-3.67, 2 Pr 3.60
Pm 0.0000 0.0000 0.0000  2 Pm 3.52, 12 Tb 3.85
Pr 0.0000 0.3333 0.6667  9 Tb 3.28-3.60, 2 Pr 3.52
Pr 0.0000 0.6667 0.3333  9 Tb 3.28-3.60, 2 Pr 3.52



The following is a GGA-PBE calculation of a relaxed Sr2BeOs crystal, from Alexandria.

Results
- SG: No. 8
- DOS(E_F): 0.2063 states/eV per atom
- Spin magnetization: 0.00 μB per formula unit
- Formation energy: 143 meV/atom
- Crystal system: monoclinic

abc: 4.0602 4.0602 8.3960
angles: 75.91 75.91 60.01
Last column: nearest neighbours and their distance in Å.
Atoms (fractional coordinates):
Be 0.5417 0.5417 0.3749  3 Os 2.34
Os 0.2083 0.2083 0.3751  3 Be 2.34
Sr 0.7905 0.7905 0.6270  3 Os 3.10, 3 Be 3.10
Sr 0.9595 0.9595 0.1231  3 Be 3.10, 3 Os 3.10



The following is a GGA-PBE calculation of a relaxed SnIrAu crystal, from Alexandria.

Results
- SG: No. 119
- DOS(E_F): 0.4877 states/eV per atom
- Distance to the lowest polymorph of the same formula: 0.1112 eV per atom
- Spin magnetization: 0.00 μB per formula unit
- Formation energy: 127 meV/atom
- Crystal system: tetragonal

abc: 4.0315 4.0315 7.5083
angles: 90.00 90.00 90.00
Last column: nearest neighbours and their distance in Å.
Atoms (fractional coordinates):
Ir 0.0000 0.0000 0.0000  4 Sn 2.75, 4 Au 2.85
Ir 0.5000 0.5000 0.5000  4 Sn 2.75, 4 Au 2.85
Au 0.0000 0.0000 0.5000  4 Sn 2.75, 4 Ir 2.85
Au 0.5000 0.5000 0.0000  4 Sn 2.75, 4 Ir 2.85
Sn 0.0000 0.5000 0.7500  4 Ir 2.75, 4 Au 2.75
Sn 0.5000 0.0000 0.2500  4 Ir 2.75, 4 Au 2.75



The following is a GGA-PBE calculation of a relaxed AlSiHg crystal, from Alexandria.

Results
- SG: No. 156
- DOS(E_F): 0.2774 states/eV per atom
- Formation energy from raw total energies: 294.4 meV/atom
- Distance to the lowest polymorph of the same formula: 0.0633 eV per atom
- Spin magnetization: 0.00 μB per formula unit
- Crystal system: trigonal

abc: 4.1657 4.1657 4.1935
angles: 90.00 90.00 120.00
Last column: nearest neighbours and their distance in Å.
Atoms (fractional coordinates):
Al 0.0000 0.0000 0.9077  3 Si 2.49
Hg 0.6667 0.3333 0.3359  3 Si 2.98, 3 Al 3.00
Si 0.3333 0.6667 0.7563  3 Al 2.49



The following is a GGA-PBE calculation of a relaxed HfMn2I crystal, from Alexandria.

Results
- SG: No. 225
- DOS(E_F): 1.4441 states/eV per atom
- Formation energy from raw total energies: 697.3 meV/atom
- Distance to the lowest polymorph of the same formula: 0.0085 eV per atom
- Spin magnetization: 0.00 μB per formula unit
- Crystal system: cubic

abc: 4.4749 4.4749 4.4749
angles: 60.00 60.00 60.00
Last column: nearest neighbours and their distance in Å.
Atoms (fractional coordinates):
Mn 0.2500 0.2500 0.2500  4 Hf 2.74, 4 I 2.74
Mn 0.7500 0.7500 0.7500  4 Hf 2.74, 4 I 2.74
I 0.0000 0.0000 0.0000  8 Mn 2.74
Hf 0.5000 0.5000 0.5000  8 Mn 2.74



The following is a GGA-PBE calculation of a relaxed Sb2Pb crystal, from Alexandria.

Results
- SG: No. 140
- DOS(E_F): 0.5216 states/eV per atom
- Formation energy from raw total energies: 115.8 meV/atom
- Distance to the lowest polymorph of the same formula: 0.0484 eV per atom
- Spin magnetization: 0.00 μB per formula unit
- Crystal system: tetragonal

abc: 6.4813 6.4813 6.4813
angles: 120.46 120.46 89.20
Last column: nearest neighbours and their distance in Å.
Atoms (fractional coordinates):
Sb 0.1624 0.6624 0.8248  1 Sb 2.96
Sb 0.6624 0.8376 0.5000  1 Sb 2.96
Sb 0.3376 0.1624 0.5000  1 Sb 2.96
Sb 0.8376 0.3376 0.1752  1 Sb 2.96
Pb 0.7500 0.7500 0.0000  8 Sb 3.34
Pb 0.2500 0.2500 0.0000  8 Sb 3.34